# PmErTcPd (GGA-PBE, relaxed)
# Volume: 21.1 A^3/atom
# Final energy: -6.5233 eV/atom
# N(E_F): 3.3 states/eV/f.u.
data_PmErTcPd
_cell_length_a 6.965
_cell_length_b 6.965
_cell_length_c 6.965
_cell_angle_alpha 90.00
_cell_angle_beta 90.00
_cell_angle_gamma 90.00
_symmetry_space_group_name_H-M 'F -4 3 m'
_symmetry_Int_Tables_number 216
_symmetry_space_group_name_Hall 'F -4 2 3'
loop_
_atom_site_label
_atom_site_type_symbol
_atom_site_fract_x
_atom_site_fract_y
_atom_site_fract_z
Pm1 Pm 0.000 0.000 0.000
Er1 Er 0.000 0.000 0.500
Tc1 Tc 0.250 0.250 0.250
Pd1 Pd 0.250 0.250 0.750

***

# V3IrOs (GGA-PBE, relaxed)
# Volume: 18.2 A^3/atom
# E above lowest polymorph: 0 meV per atom
# Final energy: -8.2589 eV/atom
# N(E_F): 9.4 states/eV/f.u.
data_V3IrOs
_cell_length_a 4.497
_cell_length_b 4.497
_cell_length_c 4.497
_cell_angle_alpha 90.00
_cell_angle_beta 90.00
_cell_angle_gamma 90.00
_symmetry_space_group_name_H-M 'P m -3 m'
_symmetry_Int_Tables_number 221
_symmetry_space_group_name_Hall '-P 4 2 3'
loop_
_atom_site_label
_atom_site_type_symbol
_atom_site_fract_x
_atom_site_fract_y
_atom_site_fract_z
V1 V 0.000 0.000 0.500
Ir1 Ir 0.500 0.500 0.500
Os1 Os 0.000 0.000 0.000

***

# NdY2Tm5 (GGA-PBE, relaxed)
# Volume: 31.1 A^3/atom
# E above lowest polymorph: 0 meV per atom
# Final energy: -4.9788 eV/atom
# N(E_F): 11.7 states/eV/f.u.
data_NdY2Tm5
_cell_length_a 7.069
_cell_length_b 7.069
_cell_length_c 9.954
_cell_angle_alpha 90.00
_cell_angle_beta 90.00
_cell_angle_gamma 90.00
_symmetry_space_group_name_H-M 'I 4/m m m'
_symmetry_Int_Tables_number 139
_symmetry_space_group_name_Hall '-I 4 2'
loop_
_atom_site_label
_atom_site_type_symbol
_atom_site_fract_x
_atom_site_fract_y
_atom_site_fract_z
Nd1 Nd 0.000 0.000 0.000
Y1 Y 0.000 0.500 0.000
Tm1 Tm 0.000 0.000 0.500
Tm2 Tm 0.250 0.250 0.250

***

# YScBe2 (GGA-PBE, relaxed)
# Volume: 18.7 A^3/atom
# E above lowest polymorph: 15 meV per atom
# Final energy: -5.0219 eV/atom
# N(E_F): 4.3 states/eV/f.u.
data_YScBe2
_cell_length_a 3.927
_cell_length_b 3.446
_cell_length_c 11.038
_cell_angle_alpha 90.00
_cell_angle_beta 90.00
_cell_angle_gamma 90.00
_symmetry_space_group_name_H-M 'A m m 2'
_symmetry_Int_Tables_number 38
_symmetry_space_group_name_Hall 'A 2 -2'
loop_
_atom_site_label
_atom_site_type_symbol
_atom_site_fract_x
_atom_site_fract_y
_atom_site_fract_z
Y1 Y 0.000 0.000 0.000
Sc1 Sc 0.500 0.000 0.291
Be1 Be 0.000 0.000 0.712
Be2 Be 0.500 0.000 0.609

***

# BaGePt3 (GGA-PBE, relaxed)
# Volume: 23.2 A^3/atom
# E above lowest polymorph: 0 meV per atom
# Final energy: -5.4063 eV/atom
# N(E_F): 1.1 states/eV/f.u.
data_BaGePt3
_cell_length_a 5.761
_cell_length_b 8.451
_cell_length_c 4.773
_cell_angle_alpha 90.00
_cell_angle_beta 90.00
_cell_angle_gamma 90.00
_symmetry_space_group_name_H-M 'P m n 21'
_symmetry_Int_Tables_number 31
_symmetry_space_group_name_Hall 'P 2ac -2'
loop_
_atom_site_label
_atom_site_type_symbol
_atom_site_fract_x
_atom_site_fract_y
_atom_site_fract_z
Ba1 Ba 0.000 0.089 0.000
Ge1 Ge 0.000 0.497 0.294
Pt1 Pt 0.000 0.754 0.529
Pt2 Pt 0.240 0.694 0.015

***

# Y4TlInS (GGA-PBE, relaxed)
# Raw formation energy: -68.2 kJ/mol of atoms
# Volume: 29.4 A^3/atom
# Final energy: -5.7192 eV/atom
# N(E_F): 5.3 states/eV/f.u.
data_Y4TlInS
_cell_length_a 7.175
_cell_length_b 16.017
_cell_length_c 7.175
_cell_angle_alpha 90.00
_cell_angle_beta 90.00
_cell_angle_gamma 90.00
_symmetry_space_group_name_H-M 'C m c m'
_symmetry_Int_Tables_number 63
_symmetry_space_group_name_Hall '-C 2c 2'
loop_
_atom_site_label
_atom_site_type_symbol
_atom_site_fract_x
_atom_site_fract_y
_atom_site_fract_z
Y1 Y 0.000 0.078 0.250
Y2 Y 0.000 0.422 0.250
Y3 Y 0.250 0.250 0.000
Tl1 Tl 0.000 0.117 0.750
In1 In 0.000 0.382 0.750
S1 S 0.000 0.250 0.250

***

# La2AlCu4Sn3 (GGA-PBE, relaxed)
# Volume: 21.0 A^3/atom
# Final energy: -4.6679 eV/atom
# N(E_F): 5.3 states/eV/f.u.
data_La2AlCu4Sn3
_cell_length_a 4.424
_cell_length_b 4.424
_cell_length_c 10.738
_cell_angle_alpha 90.00
_cell_angle_beta 90.00
_cell_angle_gamma 90.00
_symmetry_space_group_name_H-M 'P -4 m 2'
_symmetry_Int_Tables_number 115
_symmetry_space_group_name_Hall 'P -4 -2'
loop_
_atom_site_label
_atom_site_type_symbol
_atom_site_fract_x
_atom_site_fract_y
_atom_site_fract_z
La1 La 0.000 0.500 0.247
Al1 Al 0.000 0.000 0.500
Cu1 Cu 0.000 0.000 0.000
Cu2 Cu 0.000 0.500 0.628
Cu3 Cu 0.500 0.500 0.000
Sn1 Sn 0.000 0.500 0.869
Sn2 Sn 0.500 0.500 0.500

***

# Li3NdCd4 (GGA-PBE, relaxed)
# Volume: 21.8 A^3/atom
# Final energy: -2.0045 eV/atom
# N(E_F): 5.3 states/eV/f.u.
data_Li3NdCd4
_cell_length_a 4.7833
_cell_length_b 4.7833
_cell_length_c 26.3729
_cell_angle_alpha 90.00
_cell_angle_beta 90.00
_cell_angle_gamma 120.00
_symmetry_space_group_name_H-M 'R -3 m'
_symmetry_Int_Tables_number 166
_symmetry_space_group_name_Hall '-R 3 2"'
loop_
_atom_site_label
_atom_site_type_symbol
_atom_site_fract_x
_atom_site_fract_y
_atom_site_fract_z
Li1 Li 0.0000 0.0000 0.0000
Li2 Li 0.0000 0.0000 0.2596
Nd1 Nd 0.0000 0.0000 0.5000
Cd1 Cd 0.0000 0.0000 0.1040
Cd2 Cd 0.0000 0.0000 0.3719

***

> N(E_F) of number 8 (Li3NdCd4)?

5.3 states/eV/f.u.

***

> Number 4 is which compound?

YScBe2

***

> Which of these has the highest N(E_F)?

NdY2Tm5